## Nd6Sb2N (PBE-GGA)

Data for a geometry-optimized Nd6Sb2N structure.

```
Nd6Sb2N
1.0
3.997 0.000 0.000
0.000 7.250 4.311
0.000 -7.250 4.311
Nd Sb N
6 2 1
Direct
0.000 0.000 0.000 Nd
0.000 0.536 0.752 Nd
0.000 0.752 0.536 Nd
0.500 0.161 0.757 Nd
0.500 0.336 0.336 Nd
0.500 0.757 0.161 Nd
0.000 0.084 0.428 Sb
0.000 0.428 0.084 Sb
0.500 0.833 0.833 N
```

Properties
As for the calculated volume: 27.756 Å³ per atom. The value obtained for the uncorrected energy is -50.55 eV per cell. The calculation puts the spin magnetization at 1.29 μB per formula unit. Its space group is No. 38.